# 1
Entry from Alexandria: a geometry-optimized Ca3As structure (PBE).

a b c (Å): 10.4141 10.4141 10.4141
angles (deg): 23.46 23.46 23.46
With the nearest neighbours (Å) after each atom.
Atoms (fractional coordinates):
Ca (0.0000, 0.0000, 0.0000)  12 Ca 4.23-4.30
Ca (0.2168, 0.2168, 0.2168)  3 As 2.88
Ca (0.7832, 0.7832, 0.7832)  3 As 2.88
As (0.5000, 0.5000, 0.5000)  6 Ca 2.88

Output
Formation enthalpy at 0 K, eV per atom: -0.594
Size of the total moment, μB/atom: 0.0000
Energy above the lowest structure with this stoichiometry, meV per atom: 19

---

# 2
Entry from Alexandria: a geometry-optimized CaAs structure (PBE).

a b c (Å): 8.2164 8.2164 8.2164
angles (deg): 90.00 90.00 90.00
With the nearest neighbours (Å) after each atom.
Atoms (fractional coordinates):
Ca (0.0000, 0.2500, 0.5000)  4 As 2.90
Ca (0.0000, 0.7500, 0.5000)  4 As 2.90
Ca (0.2500, 0.5000, 0.0000)  4 As 2.90
Ca (0.5000, 0.0000, 0.2500)  4 As 2.90
Ca (0.5000, 0.0000, 0.7500)  4 As 2.90
Ca (0.7500, 0.5000, 0.0000)  4 As 2.90
As (0.0000, 0.5000, 0.2500)  4 Ca 2.90
As (0.0000, 0.5000, 0.7500)  4 Ca 2.90
As (0.2500, 0.0000, 0.5000)  4 Ca 2.90
As (0.5000, 0.2500, 0.0000)  4 Ca 2.90
As (0.5000, 0.7500, 0.0000)  4 Ca 2.90
As (0.7500, 0.0000, 0.5000)  4 Ca 2.90

Output
Formation enthalpy at 0 K, eV per atom: -0.327
Size of the total moment, μB/atom: 0.4631

---

# 3
Entry from Alexandria: a geometry-optimized CaAs structure (PBE).

a b c (Å): 4.7621 4.7621 4.7621
angles (deg): 60.00 60.00 60.00
With the nearest neighbours (Å) after each atom.
Atoms (fractional coordinates):
Ca (0.0000, 0.0000, 0.0000)  4 As 2.92
As (0.7500, 0.7500, 0.7500)  4 Ca 2.92

Output
Formation enthalpy at 0 K, eV per atom: -0.332
Size of the total moment, μB/atom: 0.5015

---

# 4
Entry from Alexandria: a geometry-optimized Ca2As structure (PBE).

a b c (Å): 7.2256 7.2256 7.2256
angles (deg): 151.61 149.33 42.28
With the nearest neighbours (Å) after each atom.
Atoms (fractional coordinates):
Ca (0.1224, 0.1224, 0.0000)  4 As 3.08, 1 Ca 3.30
Ca (0.8776, 0.8776, 0.0000)  4 As 3.08, 1 Ca 3.30
As (0.5000, 0.5000, 0.0000)  8 Ca 3.08

Output
Formation enthalpy at 0 K, eV per atom: -0.716
Size of the total moment, μB/atom: 0.0000
Energy above the lowest structure with this stoichiometry, meV per atom: 231

---

# 5
Entry from Alexandria: a geometry-optimized CaAs structure (PBE).

a b c (Å): 5.1317 5.1317 5.1317
angles (deg): 60.00 60.00 60.00
With the nearest neighbours (Å) after each atom.
Atoms (fractional coordinates):
Ca (0.1250, 0.1250, 0.1250)  4 As 3.14, 4 Ca 3.14
Ca (0.8750, 0.8750, 0.8750)  4 As 3.14, 4 Ca 3.14
As (0.3750, 0.3750, 0.3750)  4 As 3.14, 4 Ca 3.14
As (0.6250, 0.6250, 0.6250)  4 As 3.14, 4 Ca 3.14

Output
Formation enthalpy at 0 K, eV per atom: -0.289
Size of the total moment, μB/atom: 0.0000

---

# 6
Entry from Alexandria: a geometry-optimized CaAs3 structure (PBE).

a b c (Å): 8.7467 9.6220 4.6289
angles (deg): 90.00 90.00 90.00
With the nearest neighbours (Å) after each atom.
Atoms (fractional coordinates):
Ca (0.0991, 0.2500, 0.2492)  10 As 3.09-3.30
Ca (0.4009, 0.7500, 0.7492)  10 As 3.09-3.30
Ca (0.5991, 0.2500, 0.2508)  10 As 3.09-3.30
Ca (0.9009, 0.7500, 0.7508)  10 As 3.09-3.30
As (0.1358, 0.7500, 0.2502)  2 As 2.52
As (0.1953, 0.0380, 0.7490)  3 As 2.52-2.61
As (0.1953, 0.4620, 0.7490)  3 As 2.52-2.61
As (0.3047, 0.5380, 0.2490)  3 As 2.52-2.61
As (0.3047, 0.9620, 0.2490)  3 As 2.52-2.61
As (0.3642, 0.2500, 0.7502)  2 As 2.52
As (0.6358, 0.7500, 0.2498)  2 As 2.52
As (0.6953, 0.0380, 0.7510)  3 As 2.52-2.61
As (0.6953, 0.4620, 0.7510)  3 As 2.52-2.61
As (0.8047, 0.5380, 0.2510)  3 As 2.52-2.61
As (0.8047, 0.9620, 0.2510)  3 As 2.52-2.61
As (0.8642, 0.2500, 0.7498)  2 As 2.52

Output
Formation enthalpy at 0 K, eV per atom: -0.475
Size of the total moment, μB/atom: 0.0000

---

# 7
Entry from Alexandria: a geometry-optimized Ca5As structure (PBE).

a b c (Å): 8.5012 8.5012 5.4523
angles (deg): 90.00 90.00 149.26
With the nearest neighbours (Å) after each atom.
Atoms (fractional coordinates):
Ca (0.0000, 0.0000, 0.0000)  4 As 3.54, 8 Ca 3.55-3.58
Ca (0.1391, 0.8609, 0.5000)  2 As 3.21, 6 Ca 3.55-3.57
Ca (0.3302, 0.6698, 0.0000)  8 Ca 3.46-3.58
Ca (0.6698, 0.3302, 0.0000)  8 Ca 3.46-3.58
Ca (0.8609, 0.1391, 0.5000)  2 As 3.21, 6 Ca 3.55-3.57
As (0.5000, 0.5000, 0.5000)  8 Ca 3.21-3.54

Output
Formation enthalpy at 0 K, eV per atom: -0.287
Size of the total moment, μB/atom: 0.0000

---

# 8
Entry from Alexandria: a geometry-optimized CaAs structure (PBE).

a b c (Å): 9.5343 9.5343 9.5343
angles (deg): 23.11 23.11 23.11
With the nearest neighbours (Å) after each atom.
Atoms (fractional coordinates):
Ca (0.1079, 0.1079, 0.1079)  3 As 3.14
Ca (0.8921, 0.8921, 0.8921)  3 As 3.14
As (0.3606, 0.3606, 0.3606)  3 As 2.68
As (0.6394, 0.6394, 0.6394)  3 As 2.68

Output
Formation enthalpy at 0 K, eV per atom: -0.154
Size of the total moment, μB/atom: 0.0000

---

# 9
Entry from Alexandria: a geometry-optimized CaAs structure (PBE).

a b c (Å): 3.6414 3.6414 3.6414
angles (deg): 90.00 90.00 90.00
With the nearest neighbours (Å) after each atom.
Atoms (fractional coordinates):
Ca (0.0000, 0.0000, 0.0000)  8 As 3.15
As (0.5000, 0.5000, 0.5000)  8 Ca 3.15

Output
Formation enthalpy at 0 K, eV per atom: -0.862
Size of the total moment, μB/atom: 0.0000

---

# 10
Entry from Alexandria: a geometry-optimized Ca2As structure (PBE).

a b c (Å): 4.9602 4.9602 4.9602
angles (deg): 60.00 60.00 60.00
With the nearest neighbours (Å) after each atom.
Atoms (fractional coordinates):
Ca (0.2500, 0.2500, 0.2500)  4 As 3.04
Ca (0.7500, 0.7500, 0.7500)  4 As 3.04
As (0.0000, 0.0000, 0.0000)  8 Ca 3.04

Output
Formation enthalpy at 0 K, eV per atom: -0.923
Size of the total moment, μB/atom: 0.0000
Energy above the lowest structure with this stoichiometry, meV per atom: 24

---

# 11
Entry from Alexandria: a geometry-optimized Ca2As3 structure (PBE).

a b c (Å): 8.4267 8.4267 8.4267
angles (deg): 29.97 29.97 29.97
With the nearest neighbours (Å) after each atom.
Atoms (fractional coordinates):
Ca (0.1032, 0.1032, 0.1032)  3 As 2.95
Ca (0.8968, 0.8968, 0.8968)  3 As 2.95
As (0.3209, 0.3209, 0.3209)  3 As 2.59
As (0.5000, 0.5000, 0.5000)  6 Ca 2.95
As (0.6791, 0.6791, 0.6791)  3 As 2.59

Output
Formation enthalpy at 0 K, eV per atom: -0.709
Size of the total moment, μB/atom: 0.0000
Energy above the lowest structure with this stoichiometry, meV per atom: 176

---

# 12
Entry from Alexandria: a geometry-optimized CaAs3 structure (PBE).

a b c (Å): 4.3753 4.3753 6.0066
angles (deg): 90.00 90.00 120.00
With the nearest neighbours (Å) after each atom.
Atoms (fractional coordinates):
Ca (0.0000, 0.0000, 0.0000)  8 As 3.00-3.03
As (0.0000, 0.0000, 0.5000)  6 As 2.86, 2 Ca 3.00
As (0.3333, 0.6667, 0.2781)  4 As 2.67-2.86
As (0.3333, 0.6667, 0.7219)  4 As 2.67-2.86

Output
Formation enthalpy at 0 K, eV per atom: -0.232
Size of the total moment, μB/atom: 0.0000

---

| no. | E (eV per cell) |
| --- | --- |
| 1 | -13.03 |
| 2 | -43.83 |
| 3 | -7.31 |
| 4 | -10.80 |
| 5 | -14.46 |
| 6 | -71.40 |
| 7 | -16.38 |
| 8 | -13.92 |
| 9 | -8.37 |
| 10 | -11.42 |
| 11 | -21.50 |
| 12 | -16.88 |